Entry 1:
Below is a geometry-optimized CsDyInTe3 structure, with properties calculated at the PBE-GGA level.

Results
Total magnetization in Bohr magnetons per cell: 0.02
Crystal system: orthorhombic
SG: Cmcm, No. 63
E_tot in eV/atom: -3.8668

Cell lengths 8.8715, 8.8715, 12.3281 Å; angles 90.00, 90.00, 150.13 degrees
Fractional positions:
Cs: 0.2465 0.7535 0.7500
Cs: 0.7535 0.2465 0.2500
Dy: 0.5000 0.5000 0.0000
Dy: 0.5000 0.5000 0.5000
In: 0.0596 0.9404 0.2500
In: 0.9404 0.0596 0.7500
Te: 0.1228 0.8772 0.0257
Te: 0.1228 0.8772 0.4743
Te: 0.4505 0.5495 0.2500
Te: 0.5495 0.4505 0.7500
Te: 0.8772 0.1228 0.5257
Te: 0.8772 0.1228 0.9743

***

Entry 2:
Below is a geometry-optimized Tb2TmIn3Co2Cu structure, with properties calculated at the PBE-GGA level.

Results
Total magnetization in Bohr magnetons per cell: 0.00
Crystal system: orthorhombic
SG: Amm2, No. 38
E_tot in eV/atom: -4.7647

Cell lengths 3.8801, 7.3631, 7.3631 Å; angles 119.92, 90.00, 90.00 degrees
Fractional positions:
Tb: 0.0000 0.2067 0.7933
Tb: 0.0000 0.7933 0.2067
Tm: 0.0000 0.3807 0.3807
In: 0.5000 0.0530 0.0530
In: 0.5000 0.5349 0.7913
In: 0.5000 0.7913 0.5349
Co: 0.5000 0.1280 0.4591
Co: 0.5000 0.4591 0.1280
Cu: 0.0000 0.7918 0.7918

***

Entry 3:
Below is a geometry-optimized TbZr3 structure, with properties calculated at the PBE-GGA level.

Results
Total magnetization in Bohr magnetons per cell: 0.02
Crystal system: hexagonal
SG: P6_3/mmc, No. 194
E_tot in eV/atom: -7.5110

Cell lengths 6.6379, 6.6379, 5.2446 Å; angles 90.00, 90.00, 120.00 degrees
Fractional positions:
Tb: 0.3333 0.6667 0.2500
Tb: 0.6667 0.3333 0.7500
Zr: 0.1607 0.3213 0.7500
Zr: 0.1607 0.8393 0.7500
Zr: 0.3213 0.1607 0.2500
Zr: 0.6787 0.8393 0.7500
Zr: 0.8393 0.1607 0.2500
Zr: 0.8393 0.6787 0.2500

***

Entry 4:
Below is a geometry-optimized SmYSi2Au2 structure, with properties calculated at the PBE-GGA level.

Results
Total magnetization in Bohr magnetons per cell: 0.01
Crystal system: trigonal
SG: P-3m1, No. 164
E_tot in eV/atom: -5.5885

Cell lengths 4.3019, 4.3019, 7.9806 Å; angles 90.00, 90.00, 120.00 degrees
Fractional positions:
Sm: 0.0000 0.0000 0.0000
Y: 0.0000 0.0000 0.5000
Si: 0.3333 0.6667 0.2520
Si: 0.6667 0.3333 0.7480
Au: 0.3333 0.6667 0.7412
Au: 0.6667 0.3333 0.2588